# LaZr3Ir (PBE, relaxed)
# N(E_F) (states/eV per cell): 4.94
# ΔH_f (0 K) (eV/atom): 1.576
# Total magnetic moment (μB/f.u.): 0.0
data_LaZr3Ir
_chemical_formula_sum 'La1 Zr3 Ir1'
_symmetry_space_group_name_H-M 'P m -3 m'
_symmetry_Int_Tables_number 221
_symmetry_space_group_name_Hall '-P 4 2 3'
_cell_length_a 5.015
_cell_length_b 5.015
_cell_length_c 5.015
_cell_angle_alpha 90.00
_cell_angle_beta 90.00
_cell_angle_gamma 90.00
loop_
_atom_site_label
_atom_site_fract_x
_atom_site_fract_y
_atom_site_fract_z
_atom_site_occupancy
La1 0.000 0.000 0.000 1
Zr1 0.000 0.000 0.500 1
Ir1 0.500 0.500 0.500 1